[1]
The following is a DFT calculation (GGA-PBE) of a relaxed structure of Fe2OsRh.

Computed properties:
The calculation puts the formation energy at 0.108 eV per atom. The offset from the most stable computed form is 0.10 eV per formula unit. The space group is C2/m.

Cell: 4.5035 4.5035 4.6388 Å, 99.41 99.41 34.28°
Closest atoms and distances in Å follow each position.
Sites, in units of the cell vectors:
Fe  0.2492  0.2492  0.2447  3 Os 2.61, 3 Rh 2.62-2.64, 6 Fe 2.63-2.71
Fe  0.7508  0.7508  0.7553  3 Os 2.61, 3 Rh 2.62-2.64, 6 Fe 2.63-2.71
Os  0.5000  0.5000  0.0000  6 Fe 2.61, 2 Os 2.65, 4 Rh 2.67
Rh  0.0000  0.0000  0.5000  6 Fe 2.62-2.64, 2 Rh 2.65, 4 Os 2.67

***

[2]
The following is a DFT calculation (GGA-PBE) of a relaxed structure of Ca2YSb3Rh4.

Computed properties:
For the energy relative to the elements, uncorrected, the calculation gives -0.770 eV/atom. The space group is P-4m2.

Cell: 4.3732 4.3732 11.5319 Å, 90.00 90.00 90.00°
Closest atoms and distances in Å follow each position.
Sites, in units of the cell vectors:
Ca  0.0000  0.5000  0.2330  4 Sb 3.31, 8 Rh 3.38-3.46
Ca  0.5000  0.0000  0.7670  4 Sb 3.31, 8 Rh 3.38-3.46
Y  0.0000  0.0000  0.5000  4 Rh 2.77, 4 Sb 3.09
Sb  0.0000  0.5000  0.8702  5 Rh 2.56-2.65
Sb  0.5000  0.0000  0.1298  5 Rh 2.56-2.65
Sb  0.5000  0.5000  0.5000  4 Rh 2.77, 4 Y 3.09
Rh  0.0000  0.0000  0.0000  4 Sb 2.65
Rh  0.0000  0.5000  0.6480  3 Sb 2.56-2.77, 2 Y 2.77
Rh  0.5000  0.0000  0.3520  3 Sb 2.56-2.77, 2 Y 2.77
Rh  0.5000  0.5000  0.0000  4 Sb 2.65

***

[3]
The following is a DFT calculation (GGA-PBE) of a relaxed structure of PuZrRh.

Computed properties:
The calculation puts the formation energy at -0.291 eV per atom. The offset from the most stable computed form is 0.11 eV per formula unit. The space group is I4mm.

Cell: 5.6977 5.6977 5.6977 Å, 144.87 144.87 50.53°
Closest atoms and distances in Å follow each position.
Sites, in units of the cell vectors:
Pu  0.0000  0.0000  0.0000  4 Rh 2.89, 5 Zr 3.14-3.17
Zr  0.3080  0.3080  0.0000  4 Rh 2.92, 5 Pu 3.14-3.17
Rh  0.6510  0.6510  0.0000  4 Pu 2.89, 4 Zr 2.92

***

[4]
The following is a DFT calculation (GGA-PBE) of a relaxed structure of Ac7Ag2Pt2.

Computed properties:
The calculation puts the formation energy at -0.386 eV per atom. The offset from the most stable computed form is 1.39 eV per formula unit. The space group is Cmmm.

Cell: 7.4616 7.4616 7.7309 Å, 90.00 90.00 110.59°
Closest atoms and distances in Å follow each position.
Sites, in units of the cell vectors:
Ac  0.0000  0.0000  0.0000  2 Pt 3.62
Ac  0.0000  0.5000  0.2603  2 Pt 2.98
Ac  0.0000  0.5000  0.7397  2 Pt 2.98
Ac  0.5000  0.0000  0.2603  2 Pt 2.98
Ac  0.5000  0.0000  0.7397  2 Pt 2.98
Ac  0.5000  0.5000  0.2503  2 Pt 3.18, 2 Ag 3.40
Ac  0.5000  0.5000  0.7497  2 Pt 3.18, 2 Ag 3.40
Ag  0.1710  0.1710  0.5000  1 Ag 2.91
Ag  0.8290  0.8290  0.5000  1 Ag 2.91
Pt  0.2947  0.7053  0.0000  6 Ac 2.98-3.18
Pt  0.7053  0.2947  0.0000  6 Ac 2.98-3.18

***

What is the formula in the second record?
Ca2YSb3Rh4

***

What is the formula in the first record?
Fe2OsRh

***

Which formula does entry 2 have?
Ca2YSb3Rh4